Here is a relaxed structure of Hg6SeF8 from Alexandria. Energies are from PBE.

Cell lengths 6.9725, 6.9725, 19.3152 Å; angles 90.00, 90.00, 120.00 degrees
Space group R-3 (No. 148, hexagonal axes)
One atom of each set of equivalent atoms:
Hg: 0.0022 0.3565 0.2512 [18 per cell]
Se: 0.0000 0.0000 0.0000 [3 per cell]
F: 0.0000 0.0000 0.3593 [6 per cell]
F: 0.0203 0.7176 0.2117 [18 per cell]

Calculated values
formation energy (no corrections) = -1.13 eV per atom
Fermi-level density of states = 0.19 states/eV/atom